[1]
The following is a DFT calculation (GGA-PBE) of AlCdHgN2 after structural relaxation.

Cell: 3.813 6.209 3.813 Å, 90.00 90.00 90.00°
Each line ends with the local moment (μB).
Fractional coordinates of all 5 atoms:
N 0.000 0.000 0.500  0.07
N 0.500 0.000 0.000  0.05
Al 0.000 0.000 0.000  0.00
Hg 0.500 0.500 0.500  0.01
Cd 0.000 0.500 0.000  0.01

Output
Total magnetization, μB/cell: 0.2
D(E_F), states/eV per cell: 3.125
Raw formation energy, eV per formula unit: 3.96
Mass density, g/cm3: 6.77
VASP energy, eV per atom: -3.529
Space-group type: No. 123

[2]
The following is a DFT calculation (GGA-PBE) of Zr5Be2Bi2 after structural relaxation.

Cell: 7.345 7.302 8.111 Å, 90.00 63.08 90.00°
Fractional coordinates of all 18 atoms:
Zr 0.000 0.000 0.000
Zr 0.500 0.500 0.000
Zr 0.447 0.168 0.777
Zr 0.777 0.832 0.777
Zr 0.277 0.668 0.777
Zr 0.947 0.332 0.777
Zr 0.553 0.832 0.223
Zr 0.223 0.168 0.223
Zr 0.723 0.332 0.223
Zr 0.053 0.668 0.223
Be 0.131 0.370 0.000
Be 0.869 0.630 0.000
Be 0.369 0.870 0.000
Be 0.631 0.130 0.000
Bi 0.213 0.000 0.574
Bi 0.713 0.500 0.574
Bi 0.787 0.000 0.426
Bi 0.287 0.500 0.426

Output
Total magnetization, μB/cell: 0.0
D(E_F), states/eV per cell: 14.051
Mass density, g/cm3: 7.64
VASP energy, eV per atom: -6.670
Formation energy from the elements, meV per atom: -231
Space-group type: No. 64

[3]
The following is a DFT calculation (GGA-PBE) of AcTaN3 after structural relaxation.

Cell: 6.362 7.697 7.697 Å, 94.57 81.69 81.69°
Each line ends with the local moment (μB).
Fractional coordinates of all 20 atoms:
Ac 0.250 0.908 0.092  0.02
Ac 0.750 0.092 0.908  0.02
Ac 0.250 0.297 0.703  0.03
Ac 0.750 0.703 0.297  0.03
Ta 0.699 0.614 0.782  -0.06
Ta 0.801 0.218 0.386  -0.06
Ta 0.301 0.386 0.218  -0.06
Ta 0.199 0.782 0.614  -0.06
N 0.646 0.776 0.989  0.17
N 0.854 0.011 0.224  0.17
N 0.354 0.224 0.011  0.17
N 0.146 0.989 0.776  0.17
N 0.848 0.395 0.841  0.40
N 0.652 0.159 0.605  0.40
N 0.152 0.605 0.159  0.40
N 0.348 0.841 0.395  0.40
N 0.410 0.611 0.706  0.13
N 0.090 0.294 0.389  0.13
N 0.590 0.389 0.294  0.13
N 0.910 0.706 0.611  0.13

Output
Total magnetization, μB/cell: 3.9
D(E_F), states/eV per cell: 11.053
Raw formation energy, eV per formula unit: -4.44
Mass density, g/cm3: 8.14
VASP energy, eV per atom: -9.075
Space-group type: No. 15

[4]
The following is a DFT calculation (GGA-PBE) of Nd3Y2Er4 after structural relaxation.

Cell: 6.053 11.255 11.255 Å, 62.57 63.93 63.93°
Fractional coordinates of all 18 atoms:
Nd 0.753 0.061 0.271
Nd 0.747 0.729 0.939
Nd 0.247 0.939 0.729
Nd 0.253 0.271 0.061
Nd 0.250 0.611 0.389
Nd 0.750 0.389 0.611
Y 0.426 0.253 0.511
Y 0.074 0.489 0.747
Y 0.574 0.747 0.489
Y 0.926 0.511 0.253
Er 0.421 0.919 0.181
Er 0.079 0.819 0.081
Er 0.579 0.081 0.819
Er 0.921 0.181 0.919
Er 0.087 0.146 0.417
Er 0.413 0.583 0.854
Er 0.913 0.854 0.583
Er 0.587 0.417 0.146

Output
Total magnetization, μB/cell: 0.0
D(E_F), states/eV per cell: 27.726
Mass density, g/cm3: 7.28
VASP energy, eV per atom: -4.952
Formation energy from the elements, meV per atom: 101
Space-group type: No. 15

[5]
The following is a DFT calculation (GGA-PBE) of VTcIr2 after structural relaxation.

Cell: 4.367 4.367 4.367 Å, 60.00 60.00 60.00°
Each line ends with the local moment (μB).
Fractional coordinates of all 4 atoms:
Ir 0.250 0.250 0.250  0.54
Ir 0.750 0.750 0.750  0.54
Tc 0.500 0.500 0.500  1.05
V 0.000 0.000 0.000  0.49

Output
Total magnetization, μB/cell: 2.7
D(E_F), states/eV per cell: 7.342
Mass density, g/cm3: 15.04
VASP energy, eV per atom: -9.130
Formation energy from the elements, meV per atom: 172
Space-group type: No. 225

[6]
The following is a DFT calculation (GGA-PBE) of CsNaTe3 after structural relaxation.

Cell: 6.458 6.458 6.458 Å, 90.00 90.00 90.00°
Fractional coordinates of all 5 atoms:
Cs 0.000 0.000 0.000
Na 0.500 0.500 0.500
Te 0.000 0.500 0.000
Te 0.000 0.000 0.500
Te 0.500 0.000 0.000

Output
Total magnetization, μB/cell: 0.0
D(E_F), states/eV per cell: 11.202
Raw formation energy, eV per formula unit: 2.39
Mass density, g/cm3: 3.32
VASP energy, eV per atom: -1.842
Space-group type: No. 221

[7]
The following is a DFT calculation (GGA-PBE) of Tm3P2Rh9Au after structural relaxation.

Cell: 6.018 6.018 9.328 Å, 90.00 90.00 120.00°
Fractional coordinates of all 15 atoms:
Tm 0.333 0.667 0.730
Tm 0.000 0.000 0.000
Tm 0.667 0.333 0.270
P 0.333 0.667 0.161
P 0.667 0.333 0.839
Rh 0.852 0.148 0.738
Rh 0.852 0.705 0.738
Rh 0.295 0.148 0.738
Rh 0.705 0.852 0.262
Rh 0.148 0.295 0.262
Rh 0.148 0.852 0.262
Rh 0.500 0.000 0.000
Rh 0.000 0.500 0.000
Rh 0.500 0.500 0.000
Au 0.000 0.000 0.500

Output
Total magnetization, μB/cell: 0.0
D(E_F), states/eV per cell: 14.451
Mass density, g/cm3: 9.60
VASP energy, eV per atom: -6.785
Formation energy from the elements, meV per atom: -540
Space-group type: No. 164

[8]
The following is a DFT calculation (GGA-PBE) of Tb8PmGa6 after structural relaxation.

Cell: 8.702 8.702 7.965 Å, 56.89 56.89 60.00°
Fractional coordinates of all 15 atoms:
Tb 0.555 0.221 0.337
Tb 0.779 0.113 0.663
Tb 0.113 0.445 0.663
Tb 0.667 0.667 0.998
Tb 0.333 0.333 0.002
Tb 0.887 0.555 0.337
Tb 0.221 0.887 0.337
Tb 0.445 0.779 0.663
Pm 0.000 0.000 0.000
Ga 0.395 0.059 0.824
Ga 0.941 0.278 0.176
Ga 0.278 0.605 0.176
Ga 0.722 0.395 0.824
Ga 0.059 0.722 0.824
Ga 0.605 0.941 0.176

Output
Total magnetization, μB/cell: 0.0
D(E_F), states/eV per cell: 19.536
Mass density, g/cm3: 7.52
VASP energy, eV per atom: -4.358
Formation energy from the elements, meV per atom: -361
Space-group type: No. 148

[9]
The following is a DFT calculation (GGA-PBE) of Sm2HfSe5 after structural relaxation.

Cell: 5.522 7.511 13.448 Å, 90.00 90.00 111.57°
Fractional coordinates of all 16 atoms:
Sm 0.853 0.706 0.438
Sm 0.853 0.706 0.062
Sm 0.147 0.294 0.562
Sm 0.147 0.294 0.938
Hf 0.812 0.624 0.750
Hf 0.188 0.376 0.250
Se 0.952 0.904 0.876
Se 0.952 0.904 0.624
Se 0.307 0.614 0.411
Se 0.307 0.614 0.089
Se 0.729 0.457 0.250
Se 0.271 0.543 0.750
Se 0.693 0.386 0.589
Se 0.693 0.386 0.911
Se 0.048 0.096 0.124
Se 0.048 0.096 0.376

Output
Total magnetization, μB/cell: 0.0
Raw formation energy, eV per formula unit: -12.61
Mass density, g/cm3: 5.60
VASP energy, eV per atom: -6.178
Space-group type: No. 63

[10]
The following is a DFT calculation (GGA-PBE) of Sc2NbNi9 after structural relaxation.

Cell: 3.697 3.697 11.106 Å, 90.00 90.00 90.00°
Fractional coordinates of all 12 atoms:
Sc 0.000 0.000 0.336
Sc 0.000 0.000 0.664
Nb 0.000 0.000 0.000
Ni 0.500 0.500 0.000
Ni 0.500 0.500 0.330
Ni 0.500 0.500 0.670
Ni 0.500 0.000 0.161
Ni 0.500 0.000 0.500
Ni 0.500 0.000 0.839
Ni 0.000 0.500 0.161
Ni 0.000 0.500 0.500
Ni 0.000 0.500 0.839

Output
Total magnetization, μB/cell: 0.0
D(E_F), states/eV per cell: 6.905
Mass density, g/cm3: 7.78
VASP energy, eV per atom: -6.624
Formation energy from the elements, meV per atom: -394
Space-group type: No. 123

[11]
The following is a DFT calculation (GGA-PBE) of ScZn after structural relaxation.

Cell: 3.263 9.114 3.263 Å, 100.31 60.00 100.31°
Each line ends with the local moment (μB).
Fractional coordinates of all 4 atoms:
Sc 0.008 0.023 0.008  0.21
Sc 0.242 0.727 0.242  0.21
Zn 0.493 0.480 0.493  -0.01
Zn 0.757 0.270 0.757  -0.01

Output
Total magnetization, μB/cell: 0.7
D(E_F), states/eV per cell: 3.111
Mass density, g/cm3: 4.46
VASP energy, eV per atom: -3.847
Formation energy from the elements, meV per atom: -45
Space-group type: No. 166

[12]
The following is a DFT calculation (GGA-PBE) of Ir3SBr after structural relaxation.

Cell: 4.649 4.649 4.649 Å, 90.00 90.00 90.00°
Fractional coordinates of all 5 atoms:
S 0.500 0.500 0.500
Ir 0.000 0.500 0.000
Ir 0.000 0.000 0.500
Ir 0.500 0.000 0.000
Br 0.000 0.000 0.000

Output
Total magnetization, μB/cell: 0.0
D(E_F), states/eV per cell: 10.505
Raw formation energy, eV per formula unit: 11.21
Mass density, g/cm3: 11.38
VASP energy, eV per atom: -4.235
Space-group type: No. 221

Q: mass density of number 1 (AlCdHgN2)?
A: 6.77 g/cm3